The following is a PBE calculation of crystalline Ac2AgHg3 at its relaxed geometry, from OQMD via LeMat-Bulk.

abc: 10.182 9.624 6.378
angles: 76.04 66.53 37.44
Fractional positions:
Ac  0.250  0.250  0.250
Ac  0.250  0.750  0.750
Ac  0.750  0.250  0.250
Ac  0.750  0.750  0.750
Ag  0.167  0.167  0.833
Ag  0.833  0.833  0.167
Hg  0.161  0.670  0.330
Hg  0.330  0.839  0.161
Hg  0.331  0.331  0.669
Hg  0.669  0.669  0.331
Hg  0.670  0.161  0.839
Hg  0.839  0.330  0.670

Values from the calculation:
**Theoretical density**: 11.19 g/cm3
**E**: -2.44 eV/atom
**SG**: Fmmm, No. 69
**DFT formation energy**: -0.45 eV per atom

---

The following is a PBE calculation of crystalline AcAgHg at its relaxed geometry, from OQMD via LeMat-Bulk.

abc: 5.281 5.281 5.281
angles: 60.00 60.00 60.00
Fractional positions:
Ac  0.000  0.000  0.000
Ag  0.750  0.750  0.750
Hg  0.250  0.250  0.250

Values from the calculation:
**Theoretical density**: 8.54 g/cm3
**ΔE to the lowest computed polymorph**: 0.4134 eV/atom
**E**: -2.42 eV/atom
**SG**: F-43m, No. 216
**DFT formation energy**: -0.01 eV per atom

---

Repeat the first record exactly.
The following is a PBE calculation of crystalline Ac2AgHg3 at its relaxed geometry, from OQMD via LeMat-Bulk.

abc: 10.182 9.624 6.378
angles: 76.04 66.53 37.44
Fractional positions:
Ac  0.250  0.250  0.250
Ac  0.250  0.750  0.750
Ac  0.750  0.250  0.250
Ac  0.750  0.750  0.750
Ag  0.167  0.167  0.833
Ag  0.833  0.833  0.167
Hg  0.161  0.670  0.330
Hg  0.330  0.839  0.161
Hg  0.331  0.331  0.669
Hg  0.669  0.669  0.331
Hg  0.670  0.161  0.839
Hg  0.839  0.330  0.670

Values from the calculation:
**Theoretical density**: 11.19 g/cm3
**E**: -2.44 eV/atom
**SG**: Fmmm, No. 69
**DFT formation energy**: -0.45 eV per atom